A plane-wave DFT calculation with PBE was carried out for an optimized crystal structure of ScTa2Te.

a = 3.1038 Å, b = 3.1038 Å, c = 9.0385 Å
α = 90.00°, β = 90.00°, γ = 107.92°
Fractional coordinates of all 4 atoms:
Sc  0.5000  0.5000  0.7500
Ta  0.0000  0.0000  0.0110
Ta  0.0000  0.0000  0.4890
Te  0.5000  0.5000  0.2500

Summary:
Density in kg/m³: 10712
E_form (uncorrected) in eV/atom: 0.342
Density of states at the Fermi level in states/eV per atom: 0.879
Raw total energy in Ry per atom: -0.585